Record 1
# CeInAgI6

A relaxed CeInAgI6 crystal (PBE, the Alexandria database).

Cell: 7.7461 7.7461 15.0304 Å, 90.00 90.00 120.00°
Space group P-31c (No. 163)
One atom of each set of equivalent atoms:
Ce1 0.3333 0.6667 0.2500 x2
In1 0.0000 0.0000 0.0000 x2
Ag1 0.3333 0.6667 0.7500 x2
I1 0.0007 0.3549 0.1324 x12

Computed properties:
Formation energy from raw total energies ... -776 meV per atom
N(E_F) ... 0.40 states/eV/atom


Record 2
# CeInAg2I6

A relaxed CeInAg2I6 crystal (PBE, the Alexandria database).

Cell: 8.1088 8.1088 23.7017 Å, 90.00 90.00 120.00°
Space group R-3 (No. 148, hexagonal axes)
One atom of each set of equivalent atoms:
Ce1 0.0000 0.0000 0.0000 x3
In1 0.0000 0.0000 0.5000 x3
Ag1 0.0000 0.0000 0.2633 x6
I1 0.0016 0.6858 0.9213 x18

Computed properties:
Formation energy from raw total energies ... -694 meV per atom
N(E_F) ... 0.86 states/eV/atom


Record 3
# KCe2AgI8

A relaxed KCe2AgI8 crystal (PBE, the Alexandria database).

Cell: 7.4946 9.5477 7.8333 Å, 90.00 96.02 90.00°
Space group P2/m (No. 10)
One atom of each set of equivalent atoms:
K1 0.0000 0.0000 0.0000 x1
Ce1 0.5000 0.2586 0.5000 x2
Ag1 0.0000 0.5000 0.0000 x1
I1 0.2479 0.2800 0.1592 x4
I2 0.2666 0.5000 0.6453 x2
I3 0.2796 0.0000 0.6377 x2

Computed properties:
Formation energy from raw total energies ... -1139 meV per atom
N(E_F) ... 1.35 states/eV/atom


Record 4
# K2CeAgI6

A relaxed K2CeAgI6 crystal (PBE, the Alexandria database).

Cell: 12.2684 12.2684 12.2684 Å, 90.00 90.00 90.00°
Space group Fm-3m (No. 225)
One atom of each set of equivalent atoms:
K1 0.2500 0.2500 0.2500 x8
Ce1 0.0000 0.0000 0.0000 x4
Ag1 0.0000 0.0000 0.5000 x4
I1 0.0000 0.0000 0.2539 x24

Computed properties:
Formation energy from raw total energies ... -1102 meV per atom
N(E_F) ... 0.85 states/eV/atom
Offset from the most stable computed form ... 62 meV/atom


Record 5
# K2CeAgI6

A relaxed K2CeAgI6 crystal (PBE, the Alexandria database).

Cell: 8.1986 8.7122 14.2877 Å, 90.00 124.22 90.00°
Space group P2_1/c (No. 14)
One atom of each set of equivalent atoms:
K1 0.2131 0.0879 0.2458 x4
Ce1 0.5000 0.0000 0.0000 x2
Ag1 0.0000 0.0000 0.5000 x2
I1 0.1324 0.1956 0.9445 x4
I2 0.2568 0.6935 0.9462 x4
I3 0.3566 0.0251 0.7445 x4

Computed properties:
Formation energy from raw total energies ... -1164 meV per atom
N(E_F) ... 0.81 states/eV/atom
Offset from the most stable computed form ... 0 meV/atom


Record 6
# KCeAgI5

A relaxed KCeAgI5 crystal (PBE, the Alexandria database).

Cell: 10.1314 13.8220 11.6433 Å, 90.00 112.71 90.00°
Space group C2/c (No. 15)
One atom of each set of equivalent atoms:
K1 0.0000 0.1337 0.2500 x4
Ce1 0.0000 0.5000 0.0000 x4
Ag1 0.0000 0.1887 0.7500 x4
I1 0.0000 0.4065 0.2500 x4
I2 0.1327 0.3011 0.6203 x8
I3 0.1847 0.0672 0.9475 x8

Computed properties:
Formation energy from raw total energies ... -1087 meV per atom
N(E_F) ... 1.05 states/eV/atom


Record 7
# KCeAg2I6

A relaxed KCeAg2I6 crystal (PBE, the Alexandria database).

Cell: 8.1433 8.1433 24.2156 Å, 90.00 90.00 120.00°
Space group R3 (No. 146, hexagonal axes)
One atom of each set of equivalent atoms:
K1 0.0000 0.0000 0.0000 x3
Ce1 0.0000 0.0000 0.5000 x3
Ag1 0.0000 0.0000 0.2346 x3
Ag2 0.0000 0.0000 0.7649 x3
I1 0.0047 0.3160 0.4231 x9
I2 0.0220 0.6713 0.2435 x9

Computed properties:
Formation energy from raw total energies ... -904 meV per atom
N(E_F) ... 0.84 states/eV/atom


Record 8
# LiCeAgI6

A relaxed LiCeAgI6 crystal (PBE, the Alexandria database).

Cell: 7.2839 7.2839 13.1481 Å, 90.00 90.00 90.00°
Space group P4_2nm (No. 102)
One atom of each set of equivalent atoms:
Li1 0.0000 0.0000 0.0000 x2
Ce1 0.0000 0.0000 0.3323 x2
Ag1 0.0000 0.0000 0.6611 x2
I1 0.1996 0.1996 0.1627 x4
I2 0.2019 0.2019 0.8323 x4
I3 0.2055 0.2055 0.4976 x4

Computed properties:
Formation energy from raw total energies ... -915 meV per atom


Record 9
# Li2CeAgI6

A relaxed Li2CeAgI6 crystal (PBE, the Alexandria database).

Cell: 7.6523 7.6523 21.1127 Å, 90.00 90.00 120.00°
Space group R3 (No. 146, hexagonal axes)
One atom of each set of equivalent atoms:
Li1 0.0000 0.0000 0.0000 x3
Li2 0.0000 0.0000 0.4931 x3
Ce1 0.0000 0.0000 0.6800 x3
Ag1 0.0000 0.0000 0.1943 x3
I1 0.0058 0.6501 0.2511 x9
I2 0.0137 0.3195 0.0879 x9

Computed properties:
Formation energy from raw total energies ... -1024 meV per atom
N(E_F) ... 0.85 states/eV/atom


Record 10
# Na2CeAgI6

A relaxed Na2CeAgI6 crystal (PBE, the Alexandria database).

Cell: 7.7215 8.3194 14.0136 Å, 90.00 121.84 90.00°
Space group P2_1/c (No. 14)
One atom of each set of equivalent atoms:
Na1 0.1936 0.1037 0.2383 x4
Ce1 0.5000 0.0000 0.0000 x2
Ag1 0.0000 0.0000 0.5000 x2
I1 0.0986 0.1905 0.9259 x4
I2 0.2418 0.6785 0.9244 x4
I3 0.4052 0.0503 0.7536 x4

Computed properties:
Formation energy from raw total energies ... -1046 meV per atom
N(E_F) ... 0.83 states/eV/atom


Record 11
# CePmAgI

A relaxed CePmAgI crystal (PBE, the Alexandria database).

Cell: 7.6199 7.6199 7.6199 Å, 90.00 90.00 90.00°
Space group F-43m (No. 216)
One atom of each set of equivalent atoms:
Ce1 0.0000 0.0000 0.0000 x4
Pm1 0.0000 0.0000 0.5000 x4
Ag1 0.2500 0.2500 0.7500 x4
I1 0.2500 0.2500 0.2500 x4

Computed properties:
Formation energy from raw total energies ... -312 meV per atom
N(E_F) ... 2.75 states/eV/atom


Record 12
# Rb3CeAg2I9

A relaxed Rb3CeAg2I9 crystal (PBE, the Alexandria database).

Cell: 8.5585 8.5585 10.5935 Å, 90.00 90.00 120.00°
Space group P-3m1 (No. 164)
One atom of each set of equivalent atoms:
Rb1 0.0000 0.0000 0.0000 x1
Rb2 0.3333 0.6667 0.7266 x2
Ce1 0.0000 0.0000 0.5000 x1
Ag1 0.3333 0.6667 0.1467 x2
I1 0.0000 0.5000 0.0000 x3
I2 0.1673 0.3346 0.3332 x6

Computed properties:
Formation energy from raw total energies ... -1012 meV per atom
N(E_F) ... 0.43 states/eV/atom


Record 13
# CeTl2AgI6

A relaxed CeTl2AgI6 crystal (PBE, the Alexandria database).

Cell: 8.1013 8.6925 14.1187 Å, 90.00 123.67 90.00°
Space group P2_1/c (No. 14)
One atom of each set of equivalent atoms:
Ce1 0.0000 0.0000 0.0000 x2
Tl1 0.2963 0.0960 0.7589 x4
Ag1 0.5000 0.0000 0.5000 x2
I1 0.1355 0.0251 0.2560 x4
I2 0.2425 0.6908 0.0573 x4
I3 0.3728 0.1930 0.0552 x4

Computed properties:
Formation energy from raw total energies ... -830 meV per atom
N(E_F) ... 0.82 states/eV/atom


Record 14
# CeTlAg2I8

A relaxed CeTlAg2I8 crystal (PBE, the Alexandria database).

Cell: 10.1439 10.1439 10.1145 Å, 90.00 90.00 90.00°
Space group I-4m2 (No. 119)
One atom of each set of equivalent atoms:
Ce1 0.0000 0.0000 0.0000 x2
Tl1 0.0000 0.5000 0.2500 x2
Ag1 0.0000 0.0000 0.5000 x2
Ag2 0.0000 0.5000 0.7500 x2
I1 0.0000 0.1762 0.2855 x8
I2 0.0000 0.2971 0.9401 x8

Computed properties:
Formation energy from raw total energies ... -584 meV per atom
N(E_F) ... 0.46 states/eV/atom


Record 15
# CeIn2Ag2

A relaxed CeIn2Ag2 crystal (PBE, the Alexandria database).

Cell: 4.9564 4.9564 6.0561 Å, 90.00 90.00 120.00°
Space group P-3m1 (No. 164)
One atom of each set of equivalent atoms:
Ce1 0.0000 0.0000 0.0000 x1
In1 0.3333 0.6667 0.3114 x2
Ag1 0.3333 0.6667 0.7734 x2

Computed properties:
Formation energy ... -102 meV per atom
N(E_F) ... 1.60 states/eV/atom


Record 16
# CeIn3Ag3

A relaxed CeIn3Ag3 crystal (PBE, the Alexandria database).

Cell: 7.5202 7.5202 7.5202 Å, 90.00 90.00 90.00°
Space group Pm-3n (No. 223)
One atom of each set of equivalent atoms:
Ce1 0.0000 0.0000 0.0000 x2
In1 0.0000 0.2500 0.5000 x6
Ag1 0.0000 0.5000 0.2500 x6

Computed properties:
Formation energy ... 319 meV per atom
N(E_F) ... 1.72 states/eV/atom


Record 17
# Ce3In3Ag2

A relaxed Ce3In3Ag2 crystal (PBE, the Alexandria database).

Cell: 5.0062 10.8331 14.9847 Å, 90.00 90.00 90.00°
Space group Cmcm (No. 63)
One atom of each set of equivalent atoms:
Ce1 0.0000 0.0953 0.1102 x8
Ce2 0.0000 0.2694 0.2500 x4
In1 0.0000 0.3930 0.0545 x8
In2 0.0000 0.4235 0.7500 x4
Ag1 0.0000 0.2176 0.6031 x8

Computed properties:
Formation energy ... -291 meV per atom
N(E_F) ... 1.89 states/eV/atom


Record 18
# Ce2In2Ag3

A relaxed Ce2In2Ag3 crystal (PBE, the Alexandria database).

Cell: 4.3751 20.5818 7.8420 Å, 90.00 90.00 90.00°
Space group Cmcm (No. 63)
One atom of each set of equivalent atoms:
Ce1 0.0000 0.0559 0.2500 x4
Ce2 0.0000 0.1512 0.7500 x4
In1 0.0000 0.3126 0.5532 x8
Ag1 0.0000 0.2291 0.2500 x4
Ag2 0.0000 0.4412 0.0728 x8

Computed properties:
Formation energy ... -163 meV per atom
N(E_F) ... 2.38 states/eV/atom
Offset from the most stable computed form ... 0 meV/atom


Record 19
# Ce2In8Ag

A relaxed Ce2In8Ag crystal (PBE, the Alexandria database).

Cell: 4.7911 4.7911 12.3289 Å, 90.00 90.00 90.00°
Space group P4/mmm (No. 123)
One atom of each set of equivalent atoms:
Ce1 0.0000 0.0000 0.1888 x2
In1 0.0000 0.5000 0.0000 x2
In2 0.0000 0.5000 0.3697 x4
In3 0.5000 0.5000 0.1880 x2
Ag1 0.0000 0.0000 0.5000 x1

Computed properties:
Formation energy ... -302 meV per atom
N(E_F) ... 1.10 states/eV/atom